Entry 1:
VASP calculation (PBE) on crystalline Rb2MnZnSb at its relaxed geometry.

a b c (Å): 6.925 6.925 5.005
angles (deg): 90.00 90.00 90.00
Space group P4/mmm (No. 123)
Inequivalent atoms, fractional coordinates:
Rb  0.000  0.500  0.000 (multiplicity 2)
Mn  0.000  0.000  0.000 (multiplicity 1)
Zn  0.500  0.500  0.500 (multiplicity 1)
Sb  0.000  0.000  0.500 (multiplicity 1)

=====

Entry 2:
VASP calculation (PBE) on crystalline Sc5TlCd at its relaxed geometry.

a b c (Å): 10.752 10.923 5.979
angles (deg): 90.00 106.26 90.00
Space group C2/c (No. 15)
Inequivalent atoms, fractional coordinates:
Sc  0.000  0.227  0.250 (multiplicity 4)
Sc  0.150  0.303  0.813 (multiplicity 8)
Sc  0.242  0.077  0.591 (multiplicity 8)
Tl  0.000  0.500  0.000 (multiplicity 4)
Cd  0.000  0.064  0.750 (multiplicity 4)

Calculated values
Energy of formation in eV per formula unit: -0.165

=====

Entry 3:
VASP calculation (PBE) on crystalline MgAlRh14 at its relaxed geometry.

a b c (Å): 8.283 6.761 8.240
angles (deg): 90.00 90.00 90.00
Space group Amm2 (No. 38)
Inequivalent atoms, fractional coordinates:
Mg  0.000  0.000  0.000 (multiplicity 2)
Al  0.000  0.000  0.549 (multiplicity 2)
Rh  0.000  0.215  0.267 (multiplicity 4)
Rh  0.234  0.000  0.779 (multiplicity 4)
Rh  0.244  0.208  0.494 (multiplicity 8)
Rh  0.274  0.000  0.215 (multiplicity 4)
Rh  0.500  0.000  0.428 (multiplicity 2)
Rh  0.500  0.000  0.983 (multiplicity 2)
Rh  0.500  0.206  0.705 (multiplicity 4)

Calculated values
Energy of formation in eV per formula unit: -1.500

=====

Entry 4:
VASP calculation (PBE) on crystalline CaPm2Ga6 at its relaxed geometry.

a b c (Å): 7.3988 7.3988 4.2921
angles (deg): 90.00 90.00 120.00
Space group P6/mmm (No. 191)
Inequivalent atoms, fractional coordinates:
Ca  0.0000  0.0000  0.0000 (multiplicity 1)
Pm  0.3333  0.6667  0.0000 (multiplicity 2)
Ga  0.0000  0.3346  0.5000 (multiplicity 6)

Calculated values
Energy of formation in eV per formula unit: -5.528

=====

Entry 5:
VASP calculation (PBE) on crystalline CrCd2Ru at its relaxed geometry.

a b c (Å): 9.695 2.991 4.879
angles (deg): 90.00 101.67 90.00
Space group C2/m (No. 12)
Inequivalent atoms, fractional coordinates:
Cr  0.000  0.000  0.000 (multiplicity 2)
Cd  0.248  0.000  0.746 (multiplicity 4)
Ru  0.000  0.500  0.500 (multiplicity 2)

Calculated values
Energy of formation in eV per formula unit: 1.712

=====

Entry 6:
VASP calculation (PBE) on crystalline ScRuBr2 at its relaxed geometry.

a b c (Å): 4.601 4.601 16.446
angles (deg): 90.00 90.00 90.00
Space group I-42d (No. 122)
Inequivalent atoms, fractional coordinates:
Sc  0.000  0.000  0.000 (multiplicity 4)
Ru  0.000  0.000  0.500 (multiplicity 4)
Br  0.236  0.250  0.625 (multiplicity 8)

=====

Entry 7:
VASP calculation (PBE) on crystalline AcDy3Rh at its relaxed geometry.

a b c (Å): 5.485 5.485 5.485
angles (deg): 90.00 90.00 90.00
Space group Pm-3m (No. 221)
Inequivalent atoms, fractional coordinates:
Ac  0.000  0.000  0.000 (multiplicity 1)
Dy  0.000  0.500  0.500 (multiplicity 3)
Rh  0.500  0.500  0.500 (multiplicity 1)

Calculated values
Energy of formation in eV per formula unit: -1.446

=====

| no. | energy (eV per atom) |
| --- | --- |
| 1 | -3.010 |
| 2 | -5.015 |
| 3 | -6.860 |
| 4 | -3.910 |
| 5 | -4.754 |
| 6 | -4.876 |
| 7 | -5.342 |